A plane-wave DFT calculation with PBE was carried out for a relaxed Rb2CoSeCl6 crystal.

Structure (POSCAR):
```
Rb2CoSeCl6
1.0
-3.7888 3.7888 4.5469
3.7888 -3.7888 4.5469
3.7888 3.7888 -4.5469
Rb Co Se Cl
2 1 1 6
Cartesian
3.7888 0.0000 2.2735
0.0000 3.7888 2.2735
0.0000 0.0000 0.0000
0.0000 0.0000 4.5469
1.6500 1.6500 0.0000
2.1387 -2.1387 4.5469
0.0000 0.0000 2.2215
0.0000 0.0000 6.8724
-2.1387 2.1387 4.5469
2.1387 2.1387 4.5469
```

Density of states at the Fermi level = 0.538 states/eV per atom
Formation energy from raw total energies = -8.94 eV/f.u.
Volume = 261 Å³ per cell
Total moment = 0.6 μB per formula unit
Symmetry = I4/mmm (139)
Crystal system = tetragonal